No. 1
This record from OQMD describes a relaxed structure of BaNiB4. The functional is PBE.

Computed properties:
Relative energy among the computed polymorphs: 0.0 kJ per mole of atoms
Crystal system: hexagonal
VASP energy: -5.49 eV per atom
Space group: P6/mmm, No. 191

Lattice parameters (Å, degrees): 3.161 3.161 7.627 90.00 90.00 120.00
Element x y z (fractional)
Ba: 0.000 0.000 0.000
Ni: 0.000 0.000 0.500
B: 0.333 0.667 0.322
B: 0.333 0.667 0.678
B: 0.667 0.333 0.322
B: 0.667 0.333 0.678

No. 2
This record from OQMD describes a relaxed structure of BaNiB. The functional is PBE.

Computed properties:
Relative energy among the computed polymorphs: 0.0 kJ per mole of atoms
Crystal system: cubic
VASP energy: -3.67 eV per atom
Space group: F-43m, No. 216

Lattice parameters (Å, degrees): 6.426 6.426 6.426 90.00 90.00 90.00
Element x y z (fractional)
Ba: 0.000 0.000 0.000
Ba: 0.000 0.500 0.500
Ba: 0.500 0.000 0.500
Ba: 0.500 0.500 0.000
Ni: 0.000 0.000 0.500
Ni: 0.000 0.500 0.000
Ni: 0.500 0.000 0.000
Ni: 0.500 0.500 0.500
B: 0.250 0.250 0.250
B: 0.250 0.750 0.750
B: 0.750 0.250 0.750
B: 0.750 0.750 0.250

No. 3
This record from OQMD describes a relaxed structure of BaNpB. The functional is PBE.

Computed properties:
Relative energy among the computed polymorphs: 0.0 kJ per mole of atoms
Crystal system: cubic
VASP energy: -6.07 eV per atom
Space group: F-43m, No. 216

Lattice parameters (Å, degrees): 6.764 6.764 6.764 90.00 90.00 90.00
Element x y z (fractional)
Ba: 0.000 0.000 0.000
Ba: 0.000 0.500 0.500
Ba: 0.500 0.000 0.500
Ba: 0.500 0.500 0.000
Np: 0.000 0.000 0.500
Np: 0.000 0.500 0.000
Np: 0.500 0.000 0.000
Np: 0.500 0.500 0.500
B: 0.250 0.250 0.250
B: 0.250 0.750 0.750
B: 0.750 0.250 0.750
B: 0.750 0.750 0.250

No. 4
This record from OQMD describes a relaxed structure of BaNpB. The functional is PBE.

Computed properties:
Relative energy among the computed polymorphs: 71.0 kJ per mole of atoms
Crystal system: cubic
VASP energy: -5.33 eV per atom
Space group: F-43m, No. 216

Lattice parameters (Å, degrees): 6.736 6.736 6.736 90.00 90.00 90.00
Element x y z (fractional)
Ba: 0.000 0.000 0.000
Ba: 0.000 0.500 0.500
Ba: 0.500 0.000 0.500
Ba: 0.500 0.500 0.000
Np: 0.250 0.250 0.250
Np: 0.250 0.750 0.750
Np: 0.750 0.250 0.750
Np: 0.750 0.750 0.250
B: 0.250 0.250 0.750
B: 0.250 0.750 0.250
B: 0.750 0.250 0.250
B: 0.750 0.750 0.750

No. 5
This record from OQMD describes a relaxed structure of Ba4Zn4B14Pb2O31. The functional is PBE.

Computed properties:
Crystal system: triclinic
VASP energy: -7.20 eV per atom
Space group: P1, No. 1

Lattice parameters (Å, degrees): 6.979 7.036 15.968 78.42 81.98 60.44
Element x y z (fractional)
Ba: 0.000 0.000 0.000
Ba: 0.023 0.567 0.253
Ba: 0.283 0.414 0.842
Ba: 0.748 0.151 0.400
Zn: 0.069 0.476 0.474
Zn: 0.352 0.286 0.075
Zn: 0.667 0.285 0.175
Zn: 0.960 0.093 0.781
B: 0.120 0.538 0.634
B: 0.132 0.965 0.215
B: 0.241 0.767 0.419
B: 0.361 0.042 0.430
B: 0.379 0.083 0.265
B: 0.393 0.922 0.828
B: 0.501 0.875 0.016
B: 0.520 0.694 0.235
B: 0.632 0.644 0.427
B: 0.644 0.486 0.986
B: 0.662 0.527 0.821
B: 0.786 0.798 0.832
B: 0.889 0.604 0.038
B: 0.954 0.957 0.624
Pb: 0.434 0.016 0.623
Pb: 0.673 0.435 0.619
O: 0.004 0.102 0.654
O: 0.079 0.570 0.066
O: 0.083 0.729 0.398
O: 0.104 0.735 0.649
O: 0.155 0.107 0.254
O: 0.187 0.089 0.839
O: 0.191 0.968 0.440
O: 0.308 0.352 0.665
O: 0.315 0.757 0.204
O: 0.329 0.188 0.490
O: 0.334 0.085 0.015
O: 0.370 0.160 0.344
O: 0.410 0.234 0.197
O: 0.439 0.727 0.805
O: 0.460 0.597 0.420
O: 0.469 0.721 0.988
O: 0.553 0.847 0.264
O: 0.566 0.967 0.834
O: 0.584 0.842 0.447
O: 0.611 0.334 0.054
O: 0.654 0.409 0.907
O: 0.686 0.484 0.237
O: 0.694 0.379 0.762
O: 0.706 0.814 0.047
O: 0.768 0.049 0.580
O: 0.834 0.599 0.810
O: 0.839 0.474 0.418
O: 0.867 0.461 0.999
O: 0.939 0.999 0.189
O: 0.947 0.835 0.851
O: 0.962 0.543 0.590

No. 6
This record from OQMD describes a relaxed structure of Ba2ScZnB3O9. The functional is PBE.

Computed properties:
Crystal system: triclinic
VASP energy: -7.45 eV per atom
Space group: P-1, No. 2

Lattice parameters (Å, degrees): 6.386 8.307 9.105 112.28 103.55 101.83
Element x y z (fractional)
Ba: 0.054 0.369 0.264
Ba: 0.238 0.907 0.298
Ba: 0.762 0.093 0.702
Ba: 0.946 0.631 0.736
Sc: 0.317 0.328 0.655
Sc: 0.683 0.672 0.345
Zn: 0.405 0.214 0.025
Zn: 0.595 0.786 0.975
B: 0.168 0.966 0.675
B: 0.274 0.522 0.986
B: 0.446 0.690 0.620
B: 0.554 0.310 0.380
B: 0.726 0.478 0.014
B: 0.832 0.034 0.325
O: 0.012 0.179 0.457
O: 0.140 0.380 0.828
O: 0.168 0.002 0.837
O: 0.277 0.550 0.610
O: 0.305 0.702 0.011
O: 0.330 0.075 0.646
O: 0.371 0.482 0.117
O: 0.385 0.188 0.227
O: 0.453 0.706 0.475
O: 0.547 0.294 0.525
O: 0.615 0.812 0.773
O: 0.629 0.518 0.883
O: 0.670 0.925 0.354
O: 0.695 0.298 0.989
O: 0.723 0.450 0.390
O: 0.832 0.998 0.163
O: 0.860 0.620 0.172
O: 0.988 0.821 0.543

No. 7
This record from OQMD describes a relaxed structure of BaZrB2O6. The functional is PBE.

Computed properties:
Crystal system: trigonal
VASP energy: -8.26 eV per atom
Space group: R-3c, No. 167

Lattice parameters (Å, degrees): 11.583 11.583 11.583 25.88 25.88 25.88
Element x y z (fractional)
Ba: 0.250 0.250 0.250
Ba: 0.750 0.750 0.750
Zr: 0.000 0.000 0.000
Zr: 0.500 0.500 0.500
B: 0.130 0.130 0.130
B: 0.370 0.370 0.370
B: 0.630 0.630 0.630
B: 0.870 0.870 0.870
O: 0.163 0.669 0.280
O: 0.169 0.663 0.780
O: 0.220 0.831 0.337
O: 0.280 0.163 0.669
O: 0.331 0.720 0.837
O: 0.337 0.220 0.831
O: 0.663 0.780 0.169
O: 0.669 0.280 0.163
O: 0.720 0.837 0.331
O: 0.780 0.169 0.663
O: 0.831 0.337 0.220
O: 0.837 0.331 0.720

No. 8
This record from OQMD describes a relaxed structure of BaB4Os. The functional is PBE.

Computed properties:
Relative energy among the computed polymorphs: 35.6 kJ per mole of atoms
Crystal system: orthorhombic
VASP energy: -5.93 eV per atom
Space group: Immm, No. 71

Lattice parameters (Å, degrees): 2.845 5.972 8.468 90.00 90.00 90.00
Element x y z (fractional)
Ba: 0.000 0.000 0.000
Ba: 0.500 0.500 0.500
B: 0.000 0.357 0.214
B: 0.000 0.357 0.786
B: 0.000 0.643 0.214
B: 0.000 0.643 0.786
B: 0.500 0.143 0.286
B: 0.500 0.143 0.714
B: 0.500 0.857 0.286
B: 0.500 0.857 0.714
Os: 0.000 0.000 0.500
Os: 0.500 0.500 0.000

Which value of VASP energy does entry 6 give? -7.45 eV per atom

Look up the VASP energy of the second one. -3.67 eV per atom

VASP energy of number 6 (Ba2ScZnB3O9)? -7.45 eV per atom